No. 1
# PmGaCuNi2, optimized geometry, DFT PBE
data_PmGaCuNi2
_chemical_formula_sum 'Pm1 Ga1 Cu1 Ni2'
_symmetry_space_group_name_H-M 'P 1'
_symmetry_Int_Tables_number 1
_cell_length_a 6.072
_cell_length_b 6.072
_cell_length_c 6.072
_cell_angle_alpha 143.52
_cell_angle_beta 141.74
_cell_angle_gamma 53.90
loop_
_symmetry_equiv_pos_as_xyz
'x,y,z'
loop_
_atom_site_label
_atom_site_fract_x
_atom_site_fract_y
_atom_site_fract_z
_atom_site_occupancy
Pm1 0.000 0.000 0.000 1
Ga1 0.256 0.756 0.500 1
Cu1 0.619 0.619 0.000 1
Ni1 0.395 0.395 0.000 1
Ni2 0.766 0.266 0.500 1
# **Energy relative to the elements**: -324 meV per atom



No. 2
# KCu3Ge3, optimized geometry, DFT PBE
data_KCu3Ge3
_chemical_formula_sum 'K2 Cu6 Ge6'
_symmetry_space_group_name_H-M 'P 1'
_symmetry_Int_Tables_number 1
_cell_length_a 6.788
_cell_length_b 6.788
_cell_length_c 6.788
_cell_angle_alpha 90.00
_cell_angle_beta 90.00
_cell_angle_gamma 90.00
loop_
_symmetry_equiv_pos_as_xyz
'x,y,z'
loop_
_atom_site_label
_atom_site_fract_x
_atom_site_fract_y
_atom_site_fract_z
_atom_site_occupancy
K1 0.000 0.000 0.000 1
K2 0.500 0.500 0.500 1
Cu1 0.000 0.250 0.500 1
Cu2 0.000 0.750 0.500 1
Cu3 0.250 0.500 0.000 1
Cu4 0.500 0.000 0.250 1
Cu5 0.500 0.000 0.750 1
Cu6 0.750 0.500 0.000 1
Ge1 0.000 0.500 0.250 1
Ge2 0.000 0.500 0.750 1
Ge3 0.250 0.000 0.500 1
Ge4 0.500 0.250 0.000 1
Ge5 0.500 0.750 0.000 1
Ge6 0.750 0.000 0.500 1
# **Energy relative to the elements**: 198 meV per atom



No. 3
# Ba3GaW, optimized geometry, DFT PBE
data_Ba3GaW
_chemical_formula_sum 'Ba3 Ga1 W1'
_symmetry_space_group_name_H-M 'P 1'
_symmetry_Int_Tables_number 1
_cell_length_a 5.985
_cell_length_b 5.985
_cell_length_c 5.985
_cell_angle_alpha 90.00
_cell_angle_beta 90.00
_cell_angle_gamma 90.00
loop_
_symmetry_equiv_pos_as_xyz
'x,y,z'
loop_
_atom_site_label
_atom_site_fract_x
_atom_site_fract_y
_atom_site_fract_z
_atom_site_occupancy
Ba1 0.000 0.000 0.500 1
Ba2 0.000 0.500 0.000 1
Ba3 0.500 0.000 0.000 1
Ga1 0.500 0.500 0.500 1
W1 0.000 0.000 0.000 1
# **ΔE to the lowest computed polymorph**: 0.000 eV/f.u.
# **Energy relative to the elements**: 914 meV per atom



No. 4
# EuPuMgGe, optimized geometry, DFT PBE
data_EuPuMgGe
_chemical_formula_sum 'Eu1 Pu1 Mg1 Ge1'
_symmetry_space_group_name_H-M 'P 1'
_symmetry_Int_Tables_number 1
_cell_length_a 5.270
_cell_length_b 5.270
_cell_length_c 5.270
_cell_angle_alpha 60.00
_cell_angle_beta 60.00
_cell_angle_gamma 60.00
loop_
_symmetry_equiv_pos_as_xyz
'x,y,z'
loop_
_atom_site_label
_atom_site_fract_x
_atom_site_fract_y
_atom_site_fract_z
_atom_site_occupancy
Eu1 0.000 0.000 0.000 1
Pu1 0.500 0.500 0.500 1
Mg1 0.750 0.750 0.750 1
Ge1 0.250 0.250 0.250 1
# **Energy relative to the elements**: -160 meV per atom



No. 5
# BiMoAu3, optimized geometry, DFT PBE
data_BiMoAu3
_chemical_formula_sum 'Bi1 Mo1 Au3'
_symmetry_space_group_name_H-M 'P 1'
_symmetry_Int_Tables_number 1
_cell_length_a 5.053
_cell_length_b 5.053
_cell_length_c 5.053
_cell_angle_alpha 90.00
_cell_angle_beta 90.00
_cell_angle_gamma 90.00
loop_
_symmetry_equiv_pos_as_xyz
'x,y,z'
loop_
_atom_site_label
_atom_site_fract_x
_atom_site_fract_y
_atom_site_fract_z
_atom_site_occupancy
Bi1 0.000 0.000 0.000 1
Mo1 0.500 0.500 0.500 1
Au1 0.000 0.500 0.500 1
Au2 0.500 0.000 0.500 1
Au3 0.500 0.500 0.000 1
# **ΔE to the lowest computed polymorph**: 0.000 eV/f.u.
# **Energy relative to the elements**: 984 meV per atom



No. 6
# Cs2U3GaS8, optimized geometry, DFT PBE
data_Cs2U3GaS8
_chemical_formula_sum 'Cs2 U3 Ga1 S8'
_symmetry_space_group_name_H-M 'P 1'
_symmetry_Int_Tables_number 1
_cell_length_a 9.707
_cell_length_b 9.707
_cell_length_c 9.707
_cell_angle_alpha 49.14
_cell_angle_beta 49.14
_cell_angle_gamma 49.14
loop_
_symmetry_equiv_pos_as_xyz
'x,y,z'
loop_
_atom_site_label
_atom_site_fract_x
_atom_site_fract_y
_atom_site_fract_z
_atom_site_occupancy
Cs1 0.000 0.000 0.000 1
Cs2 0.359 0.359 0.359 1
U1 0.359 0.359 0.861 1
U2 0.359 0.861 0.359 1
U3 0.861 0.359 0.359 1
Ga1 0.762 0.762 0.762 1
S1 0.097 0.097 0.549 1
S2 0.097 0.549 0.097 1
S3 0.137 0.137 0.137 1
S4 0.153 0.629 0.629 1
S5 0.549 0.097 0.097 1
S6 0.581 0.581 0.581 1
S7 0.629 0.153 0.629 1
S8 0.629 0.629 0.153 1
# **Energy relative to the elements, uncorrected**: -119.75 kJ per mole of atoms



Summary of final energy in eV/atom
-5.01 -3.69 -3.44 -7.86 -3.92 -6.36
(order as listed above)